Below is crystalline Sr2PrHfAs4 at its relaxed geometry, with properties calculated at the PBE level.

Lattice parameters (Å, degrees): 7.297 4.192 7.563 90.00 108.41 90.00
Space group P2/m (No. 10)
Symmetry-distinct sites (fractional):
Sr: 0.000 0.000 0.000 [1 per cell]
Sr: 0.500 0.500 0.000 [1 per cell]
Pr: 0.000 0.500 0.500 [1 per cell]
Hf: 0.500 0.000 0.500 [1 per cell]
As: 0.263 0.000 0.724 [2 per cell]
As: 0.281 0.500 0.286 [2 per cell]

Computed properties:
M_tot = 0.000 μB/atom
Formation energy from the elements = -1.13 eV per atom
Theoretical density = 6.01 Mg/m³